# ErBiI

A relaxed structure of ErBiI (PBE, Alexandria).

Results
- total DFT energy (no corrections) (eV/cell) = -24.02
- calculated volume (A^3/atom) = 35.94
- crystal system = monoclinic
- energy above the most stable polymorph in this dataset (eV/atom) = 0.041

Cell: 7.313 3.845 7.750 Å, 90.00 98.25 90.00°
Space group P2/m (No. 10)
Asymmetric unit:
Er  0.000  0.000  0.000 [1 per cell]
Er  0.000  0.500  0.500 [1 per cell]
Bi  0.289  0.000  0.348 [2 per cell]
I  0.260  0.500  0.851 [2 per cell]